[1]
First-principles (PBE-GGA) data for a geometry-optimized PuTi6Nb2 structure, as listed in Alexandria via LeMat-Bulk.

Cell lengths 5.342, 9.938, 9.938 Å; angles 105.43, 117.87, 117.87 degrees
Positions (direct):
Ti1 0.969 0.901 0.075
Ti2 0.846 0.459 0.208
Ti3 0.109 0.880 0.448
Ti4 0.346 0.208 0.459
Ti5 0.654 0.792 0.541
Ti6 0.891 0.120 0.552
Ti7 0.469 0.075 0.901
Ti8 0.031 0.099 0.925
Ti9 0.391 0.552 0.120
Ti10 0.154 0.541 0.792
Ti11 0.609 0.448 0.880
Ti12 0.531 0.925 0.099
Nb1 0.324 0.366 0.289
Nb2 0.824 0.289 0.366
Nb3 0.676 0.634 0.711
Nb4 0.176 0.711 0.634
Pu1 0.750 0.225 0.775
Pu2 0.250 0.775 0.225

Results
**VASP energy**: -8.854 eV per atom
**ΔH_f (0 K)**: 23.05 kJ per mole of atoms


[2]
First-principles (PBE-GGA) data for a geometry-optimized ScTl2Mo structure, as listed in Alexandria via LeMat-Bulk.

Cell lengths 10.177, 10.177, 10.177 Å; angles 18.54, 18.54, 18.54 degrees
Positions (direct):
Mo1 0.495 0.495 0.495
Tl1 0.004 0.004 0.004
Tl2 0.240 0.240 0.240
Sc1 0.761 0.761 0.761

Results
**Energy relative to the lowest polymorph listed for this composition**: 2.94 kcal/mol of atoms
**VASP energy**: -5.089 eV per atom
**ΔH_f (0 K)**: 37.08 kJ per mole of atoms


[3]
First-principles (PBE-GGA) data for a geometry-optimized BaLaPb2 structure, as listed in Alexandria via LeMat-Bulk.

Cell lengths 4.802, 3.777, 8.662 Å; angles 64.02, 90.00, 90.00 degrees
Positions (direct):
La1 0.500 0.750 0.750
Pb1 0.000 0.030 0.969
Pb2 0.000 0.470 0.531
Ba1 0.500 0.250 0.250

Results
**VASP energy**: -4.117 eV per atom
**ΔH_f (0 K)**: -53.09 kJ per mole of atoms


[4]
First-principles (PBE-GGA) data for a geometry-optimized AcSmTh2N4 structure, as listed in Alexandria via LeMat-Bulk.

Cell lengths 3.707, 6.419, 6.424 Å; angles 70.55, 90.00, 90.00 degrees
Positions (direct):
N1 0.000 0.231 0.249
N2 0.000 0.769 0.751
N3 0.500 0.778 0.234
N4 0.500 0.222 0.766
Ac1 0.000 0.500 0.500
Sm1 0.500 0.500 0.000
Th1 0.000 0.000 0.000
Th2 0.500 0.000 0.500

Results
**VASP energy**: -8.556 eV per atom